1.
Density functional theory data (PBE) for a relaxed structure of Sc2NbHgPd.

Geometry as extended XYZ:
```
5
Lattice="5.1701 0.0000 0.0000 0.0000 5.1701 0.0000 0.0000 0.0000 4.9499" Properties=species:S:1:pos:R:3 pbc="T T T"
Sc 0.0000 2.5850 0.0000
Sc 2.5850 0.0000 0.0000
Nb 0.0000 0.0000 2.4750
Hg 2.5850 2.5850 0.0000
Pd 2.5850 2.5850 2.4750
```

Summary:
Symmetry   No. 123



2.
Density functional theory data (PBE) for a relaxed structure of Sr3TlPd3.

Geometry as extended XYZ:
```
14
Lattice="2.2593 -5.7047 0.0000 2.2593 5.7047 0.0000 0.0000 0.0000 14.7920" Properties=species:S:1:pos:R:3 pbc="T T T"
Sr 2.2593 5.4875 11.0940
Sr 2.2593 2.3282 8.9588
Sr 2.2593 2.3282 13.2292
Sr 2.2593 -2.3282 1.5628
Sr 2.2593 -2.3282 5.8332
Sr 2.2593 -5.4875 3.6980
Tl 0.0000 0.0000 0.0000
Tl 0.0000 0.0000 7.3960
Pd 2.2593 2.5566 3.6980
Pd 2.2593 0.9932 1.3935
Pd 2.2593 0.9932 6.0025
Pd 2.2593 -0.9932 8.7895
Pd 2.2593 -0.9932 13.3985
Pd 2.2593 -2.5566 11.0940
```

Summary:
Symmetry   No. 63
Distance to the lowest polymorph of the same formula   0.000 eV per atom



3.
Density functional theory data (PBE) for a relaxed structure of La2CeNi.

Geometry as extended XYZ:
```
4
Lattice="3.5900 0.0000 0.0000 0.0000 3.5900 0.0000 0.0000 0.0000 8.1708" Properties=species:S:1:pos:R:3 pbc="T T T"
La 0.0000 0.0000 1.7044
La 0.0000 0.0000 6.4664
Ce 1.7950 1.7950 4.0854
Ni 1.7950 1.7950 0.0000
```

Summary:
Symmetry   No. 123
Distance to the lowest polymorph of the same formula   0.000 eV per atom



Going through the records in order, we get density of states at the Fermi level values of 4.6, 7.3, 6.7 states/eV/cell.
Going through the records in order, we get ΔE_f values of 0.928, -0.574, -0.054 eV/atom.
Going through the records in order, we get energy values of -4.72, -3.86, -5.45 eV per atom.